{"formula": "KMgNF2", "functional": "PBE", "state": "relaxed", "lattice": [[4.657, 0.000, 0.000], [0.000, 4.657, 0.000], [0.000, 0.000, 4.885]], "species": ["K", "Mg", "N", "F", "F"], "fractional_positions": [[0.000, 0.000, 0.000], [0.500, 0.500, 0.500], [0.000, 0.000, 0.500], [0.000, 0.500, 0.000], [0.500, 0.000, 0.000]], "energy_ev_per_atom": -3.224, "density_g_cm3": 1.81, "relative_energy_ev_per_atom": 1.400, "dos_ef_per_ev_cell": 1.2, "sg": "P4/mmm (123)", "raw_formation_energy_ev_per_atom": -0.272}